Rb2LiAs | GGA-PBE | optimized geometry

Lattice parameters (Å, degrees): 5.0121 5.0121 12.1170 78.06 78.06 90.00
Fractional positions:
Rb (0.6261, 0.1250, 0.2500)
Li (0.2500, 0.7500, 0.5000)
Li (0.5000, 0.5000, 0.0000)
Rb (0.8750, 0.8761, 0.7500)
Rb (0.1239, 0.6250, 0.2500)
Rb (0.3750, 0.3739, 0.7500)
As (0.7500, 0.2500, 0.5000)
As (0.0000, 0.0000, 0.0000)

For the total energy, the calculation gives -1.98 eV/atom. The value obtained for the magnetization is 0.0 μB/f.u.

Sr2SbTe | GGA-PBE | optimized geometry

Lattice parameters (Å, degrees): 9.2281 5.9491 3.8032 89.89 65.81 130.14
Fractional positions:
Te (0.0000, 0.5000, 0.5000)
Sr (0.5000, 0.0000, 0.5000)
Sr (0.0000, 0.0000, 0.0000)
Sb (0.5000, 0.5000, 0.0000)

The value obtained for the uncorrected formation energy is -1.129 eV per atom. The value obtained for the magnetization is 0.0 μB/f.u.

BeAl2Tl | GGA-PBE | optimized geometry

Lattice parameters (Å, degrees): 5.3647 5.3647 5.3647 142.88 125.56 67.74
Fractional positions:
Be (0.4830, 0.4830, 0.0000)
Al (0.0113, 0.0113, 0.0000)
Al (0.2816, 0.7816, 0.5000)
Tl (0.7241, 0.2241, 0.5000)

For the total energy, the calculation gives -2.86 eV/atom. The value obtained for the magnetization is 0.0 μB/f.u.

BaMg2Cd10 | GGA-PBE | optimized geometry

Lattice parameters (Å, degrees): 6.0520 7.8550 7.7996 81.40 67.17 67.34
Fractional positions:
Mg (0.0000, 0.5000, 0.0000)
Cd (0.6462, 0.3576, 0.3499)
Cd (0.9962, 0.3576, 0.6501)
Cd (0.2783, 0.2234, 0.2200)
Cd (0.7217, 0.7766, 0.7800)
Cd (0.5000, 0.0000, 0.5000)
Cd (0.3538, 0.6424, 0.6501)
Cd (0.0038, 0.6424, 0.3499)
Ba (0.0000, 0.0000, 0.0000)
Cd (0.0000, 0.0000, 0.5000)
Cd (0.4983, 0.2234, 0.7800)
Mg (0.5000, 0.5000, 0.0000)
Cd (0.5017, 0.7766, 0.2200)

For the total energy, the calculation gives -1.25 eV/atom. The value obtained for the magnetization is 0.0 μB/f.u.

DyHoPaSn | GGA-PBE | optimized geometry

Lattice parameters (Å, degrees): 5.3244 5.3244 5.3244 60.00 60.00 60.00
Last column: magnetic moment on the atom in μB.
Fractional positions:
Sn (0.2500, 0.2500, 0.2500)  -0.03
Dy (0.0000, 0.0000, 0.0000)  0.22
Pa (0.7500, 0.7500, 0.7500)  0.77
Ho (0.5000, 0.5000, 0.5000)  0.24

For the total energy, the calculation gives -5.65 eV/atom. The value obtained for the magnetization is 1.5 μB/f.u.

PmLuMgIn | GGA-PBE | optimized geometry

Lattice parameters (Å, degrees): 5.3268 5.3268 5.3268 60.00 60.00 60.00
Fractional positions:
Pm (0.2500, 0.2500, 0.2500)
Lu (0.7500, 0.7500, 0.7500)
In (0.5000, 0.5000, 0.5000)
Mg (0.0000, 0.0000, 0.0000)

For the total energy, the calculation gives -3.70 eV/atom. The value obtained for the magnetization is 0.0 μB/f.u.

no.,Fermi-level density of states (states/eV/f.u.)
1,0.7
2,1.1
3,1.3
4,5.0
5,7.6
6,2.7